No. 1
# MoIr2Cl | Alexandria via LeMat-Bulk | PBE-GGA | relaxed
data_MoIr2Cl
_space_group_name_H-M_alt 'C m m m'
_space_group_IT_number 65
_space_group_name_Hall '-C 2 2'
_cell_length_a 5.4533
_cell_length_b 8.1890
_cell_length_c 2.7756
_cell_angle_alpha 90.00
_cell_angle_beta 90.00
_cell_angle_gamma 90.00
loop_
_atom_site_label
_atom_site_fract_x
_atom_site_fract_y
_atom_site_fract_z
Mo1 0.0000 0.0000 0.0000
Ir1 0.2500 0.2500 0.5000
Cl1 0.0000 0.5000 0.0000
# Energy   -54.0 eV/cell
# Energy above the lowest structure with this stoichiometry   0.641 eV/atom
# Mass density   13.821 Mg/m³

***

No. 2
# LaTlIn2Ni | Alexandria via LeMat-Bulk | PBE-GGA | relaxed
data_LaTlIn2Ni
_space_group_name_H-M_alt 'P 4/m m m'
_space_group_IT_number 123
_space_group_name_Hall '-P 4 2'
_cell_length_a 5.0440
_cell_length_b 5.0440
_cell_length_c 5.2111
_cell_angle_alpha 90.00
_cell_angle_beta 90.00
_cell_angle_gamma 90.00
loop_
_atom_site_label
_atom_site_fract_x
_atom_site_fract_y
_atom_site_fract_z
La1 0.0000 0.0000 0.0000
Tl1 0.5000 0.5000 0.0000
In1 0.0000 0.5000 0.5000
Ni1 0.0000 0.0000 0.5000
# Energy   -20.1 eV/cell
# Energy above the lowest structure with this stoichiometry   0.000 eV/atom
# Mass density   7.911 Mg/m³

***

No. 3
# RbCd3Pt | Alexandria via LeMat-Bulk | PBE-GGA | relaxed
data_RbCd3Pt
_space_group_name_H-M_alt 'C m c m'
_space_group_IT_number 63
_space_group_name_Hall '-C 2c 2'
_cell_length_a 7.9088
_cell_length_b 13.2177
_cell_length_c 5.4046
_cell_angle_alpha 90.00
_cell_angle_beta 90.00
_cell_angle_gamma 90.00
loop_
_atom_site_label
_atom_site_fract_x
_atom_site_fract_y
_atom_site_fract_z
Rb1 0.0000 0.0715 0.2500
Cd1 0.0000 0.5000 0.0000
Cd2 0.1735 0.2543 0.7500
Pt1 0.0000 0.3189 0.2500
# Energy   -40.1 eV/cell
# Energy above the lowest structure with this stoichiometry   0.196 eV/atom
# Mass density   7.263 Mg/m³

***

No. 4
# Ba2TmAg | Alexandria via LeMat-Bulk | PBE-GGA | relaxed
data_Ba2TmAg
_space_group_name_H-M_alt 'R -3 m'
_space_group_IT_number 166
_space_group_name_Hall '-R 3 2"'
_cell_length_a 3.8779
_cell_length_b 3.8779
_cell_length_c 36.8551
_cell_angle_alpha 90.00
_cell_angle_beta 90.00
_cell_angle_gamma 120.00
loop_
_atom_site_label
_atom_site_fract_x
_atom_site_fract_y
_atom_site_fract_z
Ba1 0.0000 0.0000 0.0982
Tm1 0.0000 0.0000 0.0000
Ag1 0.0000 0.0000 0.5000
# Energy   -29.4 eV/cell
# Mass density   5.724 Mg/m³

***

No. 5
# OsPd2Br | Alexandria via LeMat-Bulk | PBE-GGA | relaxed
data_OsPd2Br
_space_group_name_H-M_alt 'I -4 2 d'
_space_group_IT_number 122
_space_group_name_Hall 'I -4 2bw'
_cell_length_a 6.6231
_cell_length_b 6.6231
_cell_length_c 7.9485
_cell_angle_alpha 90.00
_cell_angle_beta 90.00
_cell_angle_gamma 90.00
loop_
_atom_site_label
_atom_site_fract_x
_atom_site_fract_y
_atom_site_fract_z
Os1 0.0000 0.0000 0.0000
Pd1 0.2259 0.2500 0.1250
Br1 0.0000 0.0000 0.5000
# Energy   -76.0 eV/cell
# Energy above the lowest structure with this stoichiometry   0.029 eV/atom
# Mass density   9.201 Mg/m³

***

No. 6
# LiTiAl | Alexandria via LeMat-Bulk | PBE-GGA | relaxed
data_LiTiAl
_space_group_name_H-M_alt 'C m c m'
_space_group_IT_number 63
_space_group_name_Hall '-C 2c 2'
_cell_length_a 4.3773
_cell_length_b 7.5700
_cell_length_c 5.4484
_cell_angle_alpha 90.00
_cell_angle_beta 90.00
_cell_angle_gamma 90.00
loop_
_atom_site_label
_atom_site_fract_x
_atom_site_fract_y
_atom_site_fract_z
Li1 0.0000 0.1671 0.2500
Ti1 0.0000 0.1664 0.7500
Al1 0.0000 0.5000 0.0000
# Energy   -54.9 eV/cell
# Energy above the lowest structure with this stoichiometry   0.151 eV/atom
# Mass density   3.009 Mg/m³

***

No. 7
# La4NdTm3S8 | Alexandria via LeMat-Bulk | PBE-GGA | relaxed
data_La4NdTm3S8
_space_group_name_H-M_alt 'R -3 m'
_space_group_IT_number 166
_space_group_name_Hall '-R 3 2"'
_cell_length_a 7.9993
_cell_length_b 7.9993
_cell_length_c 20.0350
_cell_angle_alpha 90.00
_cell_angle_beta 90.00
_cell_angle_gamma 120.00
loop_
_atom_site_label
_atom_site_fract_x
_atom_site_fract_y
_atom_site_fract_z
La1 0.0000 0.0000 0.0000
La2 0.0000 0.5000 0.0000
Nd1 0.0000 0.0000 0.5000
Tm1 0.0000 0.5000 0.5000
S1 0.0000 0.0000 0.2410
S2 0.0103 0.5051 0.7568
# Energy   -311.6 eV/cell
# Mass density   6.565 Mg/m³

***

No. 8
# MgAsO3 | Alexandria via LeMat-Bulk | PBE-GGA | relaxed
data_MgAsO3
_space_group_name_H-M_alt 'P m -3 m'
_space_group_IT_number 221
_space_group_name_Hall '-P 4 2 3'
_cell_length_a 3.7988
_cell_length_b 3.7988
_cell_length_c 3.7988
_cell_angle_alpha 90.00
_cell_angle_beta 90.00
_cell_angle_gamma 90.00
loop_
_atom_site_label
_atom_site_fract_x
_atom_site_fract_y
_atom_site_fract_z
Mg1 0.0000 0.0000 0.0000
As1 0.5000 0.5000 0.5000
O1 0.0000 0.0000 0.5000
# Energy   -24.0 eV/cell
# Mass density   4.460 Mg/m³

***

No. 9
# MgTcMo | Alexandria via LeMat-Bulk | PBE-GGA | relaxed
data_MgTcMo
_space_group_name_H-M_alt 'P 3 m 1'
_space_group_IT_number 156
_cell_length_a 4.4863
_cell_length_b 4.4863
_cell_length_c 2.7109
_cell_angle_alpha 90.00
_cell_angle_beta 90.00
_cell_angle_gamma 120.00
loop_
_space_group_symop_operation_xyz
'x,y,z'
'-y,x-y,z'
'-x+y,-x,z'
'-y,-x,z'
'-x+y,y,z'
'x,x-y,z'
loop_
_atom_site_label
_atom_site_fract_x
_atom_site_fract_y
_atom_site_fract_z
Mg1 0.0000 0.0000 0.0000
Tc1 0.3333 0.6667 0.6285
Mo1 0.6667 0.3333 0.3914
# Energy   -22.5 eV/cell
# Energy above the lowest structure with this stoichiometry   0.011 eV/atom
# Mass density   7.670 Mg/m³

***

No. 10
# Pr3MgF | Alexandria via LeMat-Bulk | PBE-GGA | relaxed
data_Pr3MgF
_space_group_name_H-M_alt 'P m -3 m'
_space_group_IT_number 221
_space_group_name_Hall '-P 4 2 3'
_cell_length_a 5.1317
_cell_length_b 5.1317
_cell_length_c 5.1317
_cell_angle_alpha 90.00
_cell_angle_beta 90.00
_cell_angle_gamma 90.00
loop_
_atom_site_label
_atom_site_fract_x
_atom_site_fract_y
_atom_site_fract_z
Pr1 0.0000 0.0000 0.5000
Mg1 0.5000 0.5000 0.5000
F1 0.0000 0.0000 0.0000
# Energy   -22.7 eV/cell
# Mass density   5.726 Mg/m³

***

No. 11
# PaNbN2O | Alexandria via LeMat-Bulk | PBE-GGA | relaxed
data_PaNbN2O
_space_group_name_H-M_alt 'C m c m'
_space_group_IT_number 63
_space_group_name_Hall '-C 2c 2'
_cell_length_a 3.2331
_cell_length_b 10.4235
_cell_length_c 7.4318
_cell_angle_alpha 90.00
_cell_angle_beta 90.00
_cell_angle_gamma 90.00
loop_
_atom_site_label
_atom_site_fract_x
_atom_site_fract_y
_atom_site_fract_z
Pa1 0.0000 0.2427 0.2500
Nb1 0.0000 0.0000 0.0000
N1 0.0000 0.3648 0.5631
O1 0.0000 0.0939 0.7500
# Energy   -200.4 eV/cell
# Mass density   9.758 Mg/m³

***

No. 12
# TaTeSeI2 | Alexandria via LeMat-Bulk | PBE-GGA | relaxed
data_TaTeSeI2
_space_group_name_H-M_alt 'P 4/m m m'
_space_group_IT_number 123
_space_group_name_Hall '-P 4 2'
_cell_length_a 5.5123
_cell_length_b 5.5123
_cell_length_c 5.4044
_cell_angle_alpha 90.00
_cell_angle_beta 90.00
_cell_angle_gamma 90.00
loop_
_atom_site_label
_atom_site_fract_x
_atom_site_fract_y
_atom_site_fract_z
Ta1 0.0000 0.0000 0.0000
Te1 0.0000 0.0000 0.5000
Se1 0.5000 0.5000 0.5000
I1 0.0000 0.5000 0.0000
# Energy   -19.4 eV/cell
# Energy above the lowest structure with this stoichiometry   0.000 eV/atom
# Mass density   6.485 Mg/m³